*one*
The following is a DFT calculation (PBE with a Hubbard U) of crystalline Rb2Co2O3 at its relaxed geometry.

Cell lengths 3.6322, 6.3569, 5.9599 Å; angles 105.51, 107.74, 90.00 degrees
Site moments in Bohr magnetons follow the coordinates.
Fractional positions:
1 O 0.6908 0.3095 0.3816  0.16
2 O 0.0000 0.5000 0.0000  0.14
3 Rb 0.3915 0.1708 0.7830  0.00
4 Rb 0.6085 0.8292 0.2170  0.00
5 Co 0.8470 0.5750 0.6940  2.65
6 O 0.3092 0.6905 0.6184  0.16
7 Co 0.1530 0.4250 0.3060  2.65

=====

*two*
The following is a DFT calculation (PBE with a Hubbard U) of crystalline Rb2Co2O3 at its relaxed geometry.

Cell lengths 6.1701, 7.9311, 12.0700 Å; angles 90.00, 90.00, 90.00 degrees
Site moments in Bohr magnetons follow the coordinates.
Fractional positions:
1 O 0.7500 0.4828 0.8766  0.20
2 O 0.4910 0.8374 0.8530  0.21
3 Rb 0.7500 0.9952 0.6188  0.00
4 Rb 0.2500 0.8763 0.0590  0.00
5 O 0.4910 0.6626 0.3530  0.21
6 Co 0.7500 0.7761 0.3496  2.60
7 O 0.0090 0.8374 0.8530  0.21
8 O 0.2500 0.9828 0.6234  0.20
9 O 0.7500 0.0172 0.3766  0.20
10 O 0.5090 0.1626 0.1470  0.21
11 Rb 0.2500 0.4952 0.8812  0.00
12 Co 0.2500 0.9077 0.7674  2.61
13 O 0.0090 0.6626 0.3530  0.21
14 Co 0.7500 0.4077 0.7326  2.61
15 Co 0.7500 0.7239 0.8496  2.60
16 Rb 0.7500 0.5048 0.1188  0.00
17 O 0.5090 0.3374 0.6470  0.21
18 Rb 0.7500 0.3763 0.4410  0.00
19 Rb 0.2500 0.0048 0.3812  0.00
20 Co 0.7500 0.0923 0.2326  2.61
21 Rb 0.7500 0.1237 0.9410  0.00
22 Rb 0.2500 0.6237 0.5590  0.00
23 O 0.9910 0.3374 0.6470  0.21
24 Co 0.2500 0.5923 0.2674  2.61
25 O 0.9910 0.1626 0.1470  0.21
26 Co 0.2500 0.2239 0.6504  2.60
27 O 0.2500 0.5172 0.1234  0.20
28 Co 0.2500 0.2761 0.1504  2.60

=====

The winner here is *two*, beating the second structure by 4.4 kJ/mol of atoms.

=====

*one*
The following is a DFT calculation (PBE with a Hubbard U) of crystalline Rb4CoO4 at its relaxed geometry.

Cell lengths 6.6740, 6.6740, 7.4004 Å; angles 116.80, 116.80, 90.00 degrees
Site moments in Bohr magnetons follow the coordinates.
Fractional positions:
1 Rb 0.5000 0.0000 0.0000  0.00
2 O 0.7491 0.7491 0.8116  0.36
3 Rb 0.7107 0.7107 0.4215  0.01
4 Rb 0.0000 0.5000 0.0000  0.00
5 O 0.0625 0.0625 0.8116  0.36
6 O 0.9375 0.2509 0.1884  0.36
7 Co 0.0000 0.0000 0.0000  3.06
8 O 0.2509 0.9375 0.1884  0.36
9 Rb 0.2893 0.2893 0.5785  0.01

=====

*two*
The following is a DFT calculation (PBE with a Hubbard U) of crystalline Rb4CoO4 at its relaxed geometry.

Cell lengths 6.1676, 7.8562, 7.8562 Å; angles 90.00, 90.00, 90.00 degrees
Site moments in Bohr magnetons follow the coordinates.
Fractional positions:
1 Rb 0.3874 0.2513 0.5308  0.01
2 Co 0.7500 0.2500 0.2500  3.07
3 O 0.4211 0.5598 0.7509  0.35
4 O 0.0789 0.7491 0.5598  0.35
5 O 0.4211 0.9402 0.7491  0.35
6 O 0.5789 0.0598 0.2509  0.35
7 Rb 0.1126 0.5308 0.2487  0.01
8 Rb 0.8874 0.4692 0.7513  0.01
9 O 0.0789 0.7509 0.9402  0.35
10 Rb 0.6126 0.7487 0.4692  0.01
11 Rb 0.1126 0.9692 0.2513  0.01
12 Rb 0.8874 0.0308 0.7487  0.01
13 O 0.5789 0.4402 0.2491  0.35
14 Rb 0.6126 0.7513 0.0308  0.01
15 O 0.9211 0.2491 0.0598  0.35
16 Co 0.2500 0.7500 0.7500  3.07
17 O 0.9211 0.2509 0.4402  0.35
18 Rb 0.3874 0.2487 0.9692  0.01

=====

The winner here is *two*, beating the second structure by 3.5 kJ/mol of atoms.